DFT (PBE with a Hubbard U) results for VSi2F after structural relaxation.

```
8
Lattice="-3.3082 7.6663 -2.2866 -0.8614 -2.8013 -8.1459 -3.8919 1.7769 -4.7997" Properties=species:S:1:pos:R:3 pbc="T T T"
Si -3.3818 5.4264 -3.8086
Si -1.6914 -0.8893 -6.4156
Si -4.4218 3.3547 -6.9371
Si -6.6282 5.3918 -13.3030
V 0.0000 0.0000 0.0000
V -4.6425 5.9378 -6.1512
F -2.0848 2.4325 -5.2162
F -3.4191 0.7040 -9.0809
```

Summary:
The raw total energy is -42.0 eV per cell. The value obtained for the volume is 18.4 Å³ per atom. Its energy above the most stable polymorph in this dataset is 0.00 kJ per mole of atoms.